DFT (PBE) results for an optimized crystal structure of K2SrRe.

Values from the calculation:
**DFT formation energy**: 1.449 eV/atom
**Polymorph energy (0 for the lowest one)**: 346.6 meV per atom
**E_tot**: -10.53 eV per formula unit
**M_tot**: 0.4 μB per formula unit

Cell: 3.054 6.305 6.665 Å, 90.00 90.00 90.00°
Space group Pmmm (No. 47)
Inequivalent atoms, fractional coordinates:
K 0.000 0.000 0.222 (multiplicity 2)
Sr 0.500 0.500 0.500 (multiplicity 1)
Re 0.500 0.500 0.000 (multiplicity 1)

=====

DFT (PBE) results for an optimized crystal structure of K2SrRe.

Values from the calculation:
**DFT formation energy**: 1.493 eV/atom
**Polymorph energy (0 for the lowest one)**: 390.5 meV per atom
**E_tot**: -10.35 eV per formula unit
**M_tot**: 2.9 μB per formula unit

Cell: 8.413 8.413 8.413 Å, 90.00 90.00 90.00°
Space group Fm-3m (No. 225)
Inequivalent atoms, fractional coordinates:
K 0.250 0.250 0.250 (multiplicity 8)
Sr 0.000 0.000 0.000 (multiplicity 4)
Re 0.000 0.000 0.500 (multiplicity 4)

=====

DFT (PBE) results for an optimized crystal structure of K2SrRe.

Values from the calculation:
**DFT formation energy**: 1.343 eV/atom
**Polymorph energy (0 for the lowest one)**: 240.8 meV per atom
**E_tot**: -10.95 eV per formula unit
**M_tot**: 3.0 μB per formula unit

Cell: 4.874 4.874 6.388 Å, 90.00 90.00 90.00°
Space group P4/mmm (No. 123)
Inequivalent atoms, fractional coordinates:
K 0.000 0.500 0.000 (multiplicity 2)
Sr 0.000 0.000 0.500 (multiplicity 1)
Re 0.500 0.500 0.500 (multiplicity 1)

=====

DFT (PBE) results for an optimized crystal structure of K2SrRe.

Values from the calculation:
**DFT formation energy**: 1.355 eV/atom
**Polymorph energy (0 for the lowest one)**: 252.6 meV per atom
**E_tot**: -10.90 eV per formula unit
**M_tot**: 0.2 μB per formula unit

Cell: 3.100 6.496 6.151 Å, 90.00 90.85 90.00°
Space group P2/m (No. 10)
Inequivalent atoms, fractional coordinates:
K 0.212 0.000 0.224 (multiplicity 2)
Sr 0.000 0.500 0.500 (multiplicity 1)
Re 0.500 0.500 0.000 (multiplicity 1)

=====

DFT (PBE) results for an optimized crystal structure of KSrRe2.

Values from the calculation:
**DFT formation energy**: 0.714 eV/atom
**Polymorph energy (0 for the lowest one)**: 81.9 meV per atom
**E_tot**: -24.82 eV per formula unit
**M_tot**: 0.0 μB per formula unit

Cell: 3.243 3.751 9.915 Å, 90.00 90.00 90.00°
Space group Pmm2 (No. 25)
Inequivalent atoms, fractional coordinates:
K 0.000 0.000 0.000 (multiplicity 1)
Sr 0.500 0.500 0.584 (multiplicity 1)
Re 0.000 0.000 0.339 (multiplicity 1)
Re 0.500 0.500 0.279 (multiplicity 1)

=====

DFT (PBE) results for an optimized crystal structure of K2SrRe.

Values from the calculation:
**DFT formation energy**: 1.406 eV/atom
**Polymorph energy (0 for the lowest one)**: 303.4 meV per atom
**E_tot**: -10.70 eV per formula unit
**M_tot**: 3.0 μB per formula unit

Cell: 4.799 4.799 26.910 Å, 90.00 90.00 90.00°
Space group I-42d (No. 122)
Inequivalent atoms, fractional coordinates:
K 0.227 0.250 0.125 (multiplicity 8)
Sr 0.000 0.000 0.500 (multiplicity 4)
Re 0.000 0.000 0.000 (multiplicity 4)

=====

DFT (PBE) results for an optimized crystal structure of KSrRe.

Values from the calculation:
**DFT formation energy**: 1.392 eV/atom
**Polymorph energy (0 for the lowest one)**: 64.0 meV per atom
**E_tot**: -11.05 eV per formula unit
**M_tot**: 0.3 μB per formula unit

Cell: 2.877 4.992 12.158 Å, 90.00 90.00 90.00°
Space group Imm2 (No. 44)
Inequivalent atoms, fractional coordinates:
K 0.000 0.000 0.000 (multiplicity 2)
Sr 0.000 0.000 0.286 (multiplicity 2)
Re 0.000 0.000 0.680 (multiplicity 2)

=====

DFT (PBE) results for an optimized crystal structure of KSrRe.

Values from the calculation:
**DFT formation energy**: 1.436 eV/atom
**Polymorph energy (0 for the lowest one)**: 107.6 meV per atom
**E_tot**: -10.92 eV per formula unit
**M_tot**: 0.0 μB per formula unit

Cell: 3.2106 3.2106 9.3241 Å, 90.00 90.00 120.00°
Space group P3m1 (No. 156)
Inequivalent atoms, fractional coordinates:
K 0.0000 0.0000 0.0000 (multiplicity 1)
Sr 0.6667 0.3333 0.5683 (multiplicity 1)
Re 0.3333 0.6667 0.3036 (multiplicity 1)